DFT (PBE-GGA) results for a relaxed structure of CsBaCo3.

POSCAR file:
```
CsBaCo3
1.0
6.029 0.000 0.000
0.000 6.029 0.000
0.000 0.000 6.029
Cs Ba Co
1 1 3
direct
0.000 0.000 0.000 Cs
0.500 0.500 0.500 Ba
0.000 0.500 0.500 Co
0.500 0.000 0.500 Co
0.500 0.500 0.000 Co
```

Values from the calculation:
Density of states at the Fermi level, states/eV/atom: 1.10
Electronic total energy, eV per atom: -2.9883
Energy above the lowest structure with this stoichiometry, meV per atom: 0
Formation enthalpy at 0 K, kJ/mol of atoms: 176.62